1.
GGA-PBE VCd2Mo, optimized geometry; formation energy = 942 meV per atom; crystal system = tetragonal; DOS at the Fermi energy = 8.87 states/eV per cell; ρ = 8.004 Mg/m³; energy relative to the lowest polymorph listed for this composition = 0.298 eV/atom
1.0
7.5754 0.0000 0.0000
0.0000 7.5754 0.0000
3.7877 3.7877 2.6875
Mo Cd V
2 4 2
direct
0.0000 0.0000 0.0000
0.7500 0.2500 0.5000
0.6192 0.1250 0.2500
0.1308 0.6250 0.2500
0.3750 0.3808 0.7500
0.8750 0.8692 0.7500
0.5000 0.5000 0.0000
0.2500 0.7500 0.5000

=====

2.
GGA-PBE VCd3Mo, optimized geometry; formation energy = 1440 meV per atom; crystal system = cubic; DOS at the Fermi energy = 8.83 states/eV per cell; ρ = 5.547 Mg/m³; energy relative to the lowest polymorph listed for this composition = 0.000 eV/atom
1.0
5.2528 0.0000 0.0000
0.0000 5.2528 0.0000
0.0000 0.0000 5.2528
Mo Cd V
1 3 1
direct
0.0000 0.0000 0.0000
0.0000 0.5000 0.0000
0.0000 0.0000 0.5000
0.5000 0.0000 0.0000
0.5000 0.5000 0.5000

=====

3.
GGA-PBE VCd2Mo, optimized geometry; formation energy = 643 meV per atom; crystal system = cubic; DOS at the Fermi energy = 3.89 states/eV per cell; ρ = 8.463 Mg/m³; energy relative to the lowest polymorph listed for this composition = 0.000 eV/atom
1.0
-0.0291 -2.8172 3.7491
-3.3909 0.4085 3.2137
-3.2680 -3.3399 0.3980
Mo Cd V
1 2 1
direct
0.5000 0.5000 0.5000
0.2500 0.2500 0.2500
0.7500 0.7500 0.7500
0.0000 0.0000 0.0000

=====

4.
GGA-PBE V2CdMo, optimized geometry; formation energy = 122 meV per atom; crystal system = tetragonal; DOS at the Fermi energy = 3.26 states/eV per cell; ρ = 8.093 Mg/m³
1.0
3.1570 0.0000 0.0000
0.0000 3.1570 0.0000
0.0000 0.0000 6.3863
Mo V Cd
1 2 1
direct
0.5000 0.5000 0.0000
0.0000 0.0000 0.7872
0.0000 0.0000 0.2128
0.5000 0.5000 0.5000

=====

5.
GGA-PBE V2CdMo, optimized geometry; formation energy = 778 meV per atom; crystal system = tetragonal; DOS at the Fermi energy = 9.37 states/eV per cell; ρ = 7.540 Mg/m³
1.0
-4.7660 -3.4419 -3.8979
0.2483 -5.4320 4.4930
-4.2813 -3.3083 1.7738
Mo Cd V
2 2 4
direct
0.5000 0.5000 0.0000
0.2500 0.7500 0.5000
0.0000 0.0000 0.0000
0.7500 0.2500 0.5000
0.5926 0.1250 0.2500
0.1574 0.6250 0.2500
0.3750 0.4074 0.7500
0.8750 0.8426 0.7500

=====

6.
GGA-PBE VZn2CdMo, optimized geometry; formation energy = 1701 meV per atom; crystal system = tetragonal; DOS at the Fermi energy = 5.90 states/eV per cell; ρ = 5.988 Mg/m³
1.0
-3.4305 -0.6985 2.9735
-1.0363 -4.4894 -2.2501
2.9100 -2.1064 2.8624
Mo V Zn Cd
1 1 2 1
direct
0.0000 0.5000 0.0000
0.5000 0.5000 0.5000
0.0000 0.0000 0.5000
0.5000 0.0000 0.0000
0.0000 0.0000 0.0000